[1]
Here is crystalline Cd2WSe at its relaxed geometry from the Alexandria database. Energies are from PBE-GGA.

The value obtained for the uncorrected formation energy is 0.5031 eV per atom. Its total energy is -4.064 eV per atom.

abc: 2.8239 2.8239 10.3354
angles: 90.00 90.00 90.00
Last column: nearest neighbours and their distance in Å.
Element x y z (fractional)
Cd (0.0000, 0.0000, 0.2181)  4 Cd 2.82, 4 W 3.01
Cd (0.0000, 0.0000, 0.7819)  4 Cd 2.82, 4 W 3.01
W (0.5000, 0.5000, 0.0000)  4 W 2.82, 8 Cd 3.01
Se (0.5000, 0.5000, 0.5000)  4 Se 2.82

***

[2]
Here is crystalline BeAlIn2 at its relaxed geometry from the Alexandria database. Energies are from PBE-GGA.

The value obtained for the excess energy over the best structure of this formula in the dataset is 0.0949 eV/atom. Its total energy is -2.850 eV per atom. The energy of formation from the pure elements is 0.387 eV/atom.

abc: 8.4235 8.4235 8.4235
angles: 23.06 23.06 23.06
Last column: nearest neighbours and their distance in Å.
Element x y z (fractional)
Be (0.0000, 0.0000, 0.0000)  6 In 2.67
Al (0.5000, 0.5000, 0.5000)  6 In 2.98
In (0.2586, 0.2586, 0.2586)  3 Be 2.67, 3 Al 2.98
In (0.7414, 0.7414, 0.7414)  3 Be 2.67, 3 Al 2.98

***

[3]
Here is crystalline KLa2Tl at its relaxed geometry from the Alexandria database. Energies are from PBE-GGA.

The value obtained for the excess energy over the best structure of this formula in the dataset is 0.1274 eV/atom. Its total energy is -3.219 eV per atom. The energy of formation from the pure elements is 0.111 eV/atom.

abc: 6.0035 6.0035 6.0035
angles: 125.93 125.93 80.00
Last column: nearest neighbours and their distance in Å.
Element x y z (fractional)
K (0.0000, 0.0000, 0.0000)  8 La 3.57, 4 Tl 3.86
La (0.2500, 0.7500, 0.5000)  4 Tl 3.57, 4 K 3.57, 4 La 3.86
La (0.7500, 0.2500, 0.5000)  4 Tl 3.57, 4 K 3.57, 4 La 3.86
Tl (0.5000, 0.5000, 0.0000)  8 La 3.57, 4 K 3.86

***

[4]
Here is crystalline CeSmZnSb at its relaxed geometry from the Alexandria database. Energies are from PBE-GGA.

The value obtained for the uncorrected formation energy is -0.5257 eV per atom. Its total energy is -4.538 eV per atom.

abc: 5.3039 5.3039 5.3039
angles: 60.00 60.00 60.00
Last column: nearest neighbours and their distance in Å.
Element x y z (fractional)
Ce (0.0000, 0.0000, 0.0000)  4 Sb 3.25, 4 Zn 3.25
Sm (0.5000, 0.5000, 0.5000)  4 Sb 3.25, 4 Zn 3.25
Zn (0.7500, 0.7500, 0.7500)  4 Ce 3.25, 4 Sm 3.25
Sb (0.2500, 0.2500, 0.2500)  4 Sm 3.25, 4 Ce 3.25

***

[5]
Here is crystalline TaCo2Ge at its relaxed geometry from the Alexandria database. Energies are from PBE-GGA.

Its total energy is -7.457 eV per atom. The energy of formation from the pure elements is 0.213 eV/atom.

abc: 8.5602 8.5602 8.5602
angles: 154.41 154.41 36.50
Last column: nearest neighbours and their distance in Å.
Element x y z (fractional)
Ta (0.0000, 0.0000, 0.0000)  4 Co 2.47, 4 Ge 2.68
Ta (0.7500, 0.2500, 0.5000)  4 Co 2.47, 4 Ge 2.68
Co (0.1511, 0.6250, 0.0261)  2 Ge 2.40, 2 Ta 2.47, 2 Co 2.54
Co (0.3750, 0.4011, 0.5261)  2 Ge 2.40, 2 Ta 2.47, 2 Co 2.54
Co (0.5989, 0.1250, 0.9739)  2 Ge 2.40, 2 Ta 2.47, 2 Co 2.54
Co (0.8750, 0.8489, 0.4739)  2 Ge 2.40, 2 Ta 2.47, 2 Co 2.54
Ge (0.2500, 0.7500, 0.5000)  4 Co 2.40, 4 Ta 2.68
Ge (0.5000, 0.5000, 0.0000)  4 Co 2.40, 4 Ta 2.68

***

[6]
Here is crystalline Sn2OsRuO at its relaxed geometry from the Alexandria database. Energies are from PBE-GGA.

The value obtained for the uncorrected formation energy is 0.4430 eV per atom. Its total energy is -6.251 eV per atom.

abc: 5.3489 5.3489 3.6626
angles: 90.00 90.00 90.00
Last column: nearest neighbours and their distance in Å.
Element x y z (fractional)
Sn (0.0000, 0.5000, 0.0000)  2 Os 2.67
Sn (0.5000, 0.0000, 0.0000)  2 Os 2.67
Os (0.0000, 0.0000, 0.0000)  2 O 1.83
Ru (0.5000, 0.5000, 0.5000)  8 Sn 3.24
O (0.0000, 0.0000, 0.5000)  2 Os 1.83

***

[7]
Here is crystalline KHg3Pb3 at its relaxed geometry from the Alexandria database. Energies are from PBE-GGA.

The value obtained for the excess energy over the best structure of this formula in the dataset is 0.0375 eV/atom. Its total energy is -1.932 eV per atom. The energy of formation from the pure elements is -0.057 eV/atom.

abc: 8.9005 8.9005 8.9005
angles: 55.74 55.74 55.74
Last column: nearest neighbours and their distance in Å.
Element x y z (fractional)
K (0.1470, 0.1470, 0.1470)  6 Hg 3.42-3.75
K (0.8530, 0.8530, 0.8530)  6 Hg 3.42-3.75
Hg (0.2187, 0.6678, 0.4411)  4 Hg 3.19-3.24, 3 Pb 3.23-3.47, 1 K 3.42
Hg (0.3322, 0.5589, 0.7813)  4 Hg 3.19-3.24, 3 Pb 3.23-3.47, 1 K 3.42
Hg (0.4411, 0.2187, 0.6678)  4 Hg 3.19-3.24, 3 Pb 3.23-3.47, 1 K 3.42
Hg (0.5589, 0.7813, 0.3322)  4 Hg 3.19-3.24, 3 Pb 3.23-3.47, 1 K 3.42
Hg (0.6678, 0.4411, 0.2187)  4 Hg 3.19-3.24, 3 Pb 3.23-3.47, 1 K 3.42
Hg (0.7813, 0.3322, 0.5589)  4 Hg 3.19-3.24, 3 Pb 3.23-3.47, 1 K 3.42
Pb (0.0833, 0.5598, 0.2529)  3 Hg 3.23-3.47, 5 Pb 3.39-3.48
Pb (0.2529, 0.0833, 0.5598)  3 Hg 3.23-3.47, 5 Pb 3.39-3.48
Pb (0.4402, 0.7471, 0.9167)  3 Hg 3.23-3.47, 5 Pb 3.39-3.48
Pb (0.5598, 0.2529, 0.0833)  3 Hg 3.23-3.47, 5 Pb 3.39-3.48
Pb (0.7471, 0.9167, 0.4402)  3 Hg 3.23-3.47, 5 Pb 3.39-3.48
Pb (0.9167, 0.4402, 0.7471)  3 Hg 3.23-3.47, 5 Pb 3.39-3.48

***

[8]
Here is crystalline TmPaRh4 at its relaxed geometry from the Alexandria database. Energies are from PBE-GGA.

The value obtained for the excess energy over the best structure of this formula in the dataset is 0.1259 eV/atom. Its total energy is -7.929 eV per atom. The energy of formation from the pure elements is -0.700 eV/atom.

abc: 5.3157 5.3157 5.3157
angles: 60.00 60.00 60.00
Last column: nearest neighbours and their distance in Å.
Element x y z (fractional)
Tm (0.0000, 0.0000, 0.0000)  12 Rh 3.12, 4 Pa 3.26
Pa (0.2500, 0.2500, 0.2500)  12 Rh 3.12, 4 Tm 3.26
Rh (0.1238, 0.6254, 0.6254)  6 Rh 2.65-2.67
Rh (0.6254, 0.1238, 0.6254)  6 Rh 2.65-2.67
Rh (0.6254, 0.6254, 0.1238)  6 Rh 2.65-2.67
Rh (0.6254, 0.6254, 0.6254)  6 Rh 2.65-2.67

***

Repeat the sixth record exactly.
Here is crystalline Sn2OsRuO at its relaxed geometry from the Alexandria database. Energies are from PBE-GGA.

The value obtained for the uncorrected formation energy is 0.4430 eV per atom. Its total energy is -6.251 eV per atom.

abc: 5.3489 5.3489 3.6626
angles: 90.00 90.00 90.00
Last column: nearest neighbours and their distance in Å.
Element x y z (fractional)
Sn (0.0000, 0.5000, 0.0000)  2 Os 2.67
Sn (0.5000, 0.0000, 0.0000)  2 Os 2.67
Os (0.0000, 0.0000, 0.0000)  2 O 1.83
Ru (0.5000, 0.5000, 0.5000)  8 Sn 3.24
O (0.0000, 0.0000, 0.5000)  2 Os 1.83

***

Number 2 is which compound?
BeAlIn2